The following is a GGA+U calculation of crystalline VCu2SnF at its relaxed geometry, from Alexandria via LeMat-Bulk.

Computed properties:
spin magnetization = 0.06 μB/atom
energy = -3.81 eV per atom
space group = No. 123

```
VCu2SnF
1.0
4.0301 0.0000 0.0000
0.0000 5.0236 0.0000
0.0000 0.0000 4.0301
Cu Sn V F
2 1 1 1
Cartesian
2.0150 0.0000 0.0000
0.0000 0.0000 2.0150
0.0000 2.5118 0.0000
2.0150 2.5118 2.0150
0.0000 0.0000 0.0000
```